KGdMo2O8 (GGA+U, optimized geometry); N(E_F) = 0.00 states/eV per atom; energy = -189.55 eV for the cell shown
1.0
5.441 -5.228 0.000
5.441 5.228 0.000
-5.246 0.000 5.935
K Gd Mo O
2 2 4 16
Cartesian
1.506 3.188 4.451
4.129 -3.188 1.484
4.129 2.839 1.484
1.506 -2.839 4.451
-0.655 0.038 4.509
1.968 -0.038 1.542
3.667 0.038 4.393
6.290 -0.038 1.425
-2.245 0.802 4.131
1.838 1.619 0.726
0.378 -0.802 1.163
0.400 0.886 3.360
5.014 1.122 0.190
-0.785 -1.619 3.694
3.023 -0.886 0.393
3.244 1.122 2.778
2.391 -1.122 3.157
2.613 0.886 5.542
6.420 1.619 2.241
0.621 -1.122 5.745
5.236 -0.886 2.575
5.257 0.802 4.772
3.797 -1.619 5.209
7.880 -0.802 1.804